[1]
# Nd2SbP3Pd4 (PBE, optimized geometry)
# DFT total energy   -5.920 eV/atom
data_Nd2SbP3Pd4
_cell_length_a 4.189
_cell_length_b 4.189
_cell_length_c 10.804
_cell_angle_alpha 90.00
_cell_angle_beta 90.00
_cell_angle_gamma 90.00
_symmetry_space_group_name_H-M 'P -4 m 2'
_symmetry_Int_Tables_number 115
_symmetry_space_group_name_Hall 'P -4 -2'
loop_
_atom_site_label
_atom_site_type_symbol
_atom_site_fract_x
_atom_site_fract_y
_atom_site_fract_z
_atom_site_occupancy
Nd1 Nd 0.000 0.500 0.226 1
Sb1 Sb 0.000 0.000 0.500 1
P1 P 0.000 0.500 0.871 1
P2 P 0.500 0.500 0.500 1
Pd1 Pd 0.000 0.000 0.000 1
Pd2 Pd 0.000 0.500 0.651 1
Pd3 Pd 0.500 0.500 0.000 1



[2]
# In2HgMo (PBE, optimized geometry)
# DFT total energy   -3.762 eV/atom
# ΔH_f (0 K)   1.6 eV per formula unit
data_In2HgMo
_cell_length_a 3.588
_cell_length_b 3.752
_cell_length_c 6.175
_cell_angle_alpha 90.00
_cell_angle_beta 90.00
_cell_angle_gamma 90.00
_symmetry_space_group_name_H-M 'P m m m'
_symmetry_Int_Tables_number 47
_symmetry_space_group_name_Hall '-P 2 2'
loop_
_atom_site_label
_atom_site_type_symbol
_atom_site_fract_x
_atom_site_fract_y
_atom_site_fract_z
_atom_site_occupancy
In1 In 0.000 0.000 0.230 1
Hg1 Hg 0.500 0.500 0.500 1
Mo1 Mo 0.500 0.500 0.000 1



[3]
# CoCu2Br (PBE, optimized geometry)
# DFT total energy   -3.746 eV/atom
# Polymorph energy (0 for the lowest one)   0.153 eV per atom
data_CoCu2Br
_cell_length_a 3.1123
_cell_length_b 3.1123
_cell_length_c 22.4322
_cell_angle_alpha 90.00
_cell_angle_beta 90.00
_cell_angle_gamma 120.00
_symmetry_space_group_name_H-M 'R 3 m'
_symmetry_Int_Tables_number 160
_symmetry_space_group_name_Hall 'R 3 -2"'
loop_
_atom_site_label
_atom_site_type_symbol
_atom_site_fract_x
_atom_site_fract_y
_atom_site_fract_z
_atom_site_occupancy
Co1 Co 0.0000 0.0000 0.0000 1
Cu1 Cu 0.0000 0.0000 0.4877 1
Cu2 Cu 0.0000 0.0000 0.7450 1
Br1 Br 0.0000 0.0000 0.2568 1



[4]
# Ho6Co2Te (PBE, optimized geometry)
# DFT total energy   -5.350 eV/atom
# Polymorph energy (0 for the lowest one)   0.000 eV per atom
data_Ho6Co2Te
_cell_length_a 9.325
_cell_length_b 9.623
_cell_length_c 10.032
_cell_angle_alpha 90.00
_cell_angle_beta 90.00
_cell_angle_gamma 90.00
_symmetry_space_group_name_H-M 'I m m m'
_symmetry_Int_Tables_number 71
_symmetry_space_group_name_Hall '-I 2 2'
loop_
_atom_site_label
_atom_site_type_symbol
_atom_site_fract_x
_atom_site_fract_y
_atom_site_fract_z
_atom_site_occupancy
Ho1 Ho 0.000 0.207 0.235 1
Ho2 Ho 0.181 0.500 0.174 1
Ho3 Ho 0.216 0.318 0.500 1
Co1 Co 0.000 0.341 0.000 1
Co2 Co 0.000 0.500 0.387 1
Te1 Te 0.000 0.000 0.000 1
Te2 Te 0.000 0.000 0.500 1



[5]
# Lu2HfAg (PBE, optimized geometry)
# DFT total energy   -5.583 eV/atom
# Polymorph energy (0 for the lowest one)   0.000 eV per atom
# ΔH_f (0 K)   -0.5 eV per formula unit
data_Lu2HfAg
_cell_length_a 3.349
_cell_length_b 3.349
_cell_length_c 8.513
_cell_angle_alpha 90.00
_cell_angle_beta 90.00
_cell_angle_gamma 90.00
_symmetry_space_group_name_H-M 'P 4/m m m'
_symmetry_Int_Tables_number 123
_symmetry_space_group_name_Hall '-P 4 2'
loop_
_atom_site_label
_atom_site_type_symbol
_atom_site_fract_x
_atom_site_fract_y
_atom_site_fract_z
_atom_site_occupancy
Lu1 Lu 0.000 0.000 0.236 1
Hf1 Hf 0.500 0.500 0.500 1
Ag1 Ag 0.500 0.500 0.000 1